# NaLa2PaAs4

A relaxed structure of NaLa2PaAs4 (PBE, the Alexandria database).

a = 4.326 Å, b = 7.377 Å, c = 7.343 Å
α = 108.96°, β = 90.00°, γ = 90.00°
Positions (direct):
1 Na 0.500 0.500 0.000
2 La 0.500 0.000 0.500
3 La 0.000 0.500 0.500
4 Pa 0.000 0.000 0.000
5 As 0.500 0.235 0.232
6 As 0.500 0.765 0.768
7 As 0.000 0.231 0.760
8 As 0.000 0.769 0.240

Values from the calculation:
**DOS(E_F)**: 2.479 states/eV per cell
**Raw total energy**: -6.01 eV/atom
**E_form**: -1098 meV/atom
**Crystal system**: monoclinic